Record 1
The following is a PBE calculation of a geometry-optimized Na4Tb3PmTe8 structure, from the Alexandria database.

abc: 8.9264 8.9264 22.7020
angles: 90.00 90.00 120.00
Space group R-3m (No. 166, hexagonal axes)
Asymmetric unit:
Na 0.0000 0.0000 0.0000 x3
Na 0.0000 0.5000 0.0000 x9
Tb 0.0000 0.5000 0.5000 x9
Pm 0.0000 0.0000 0.5000 x3
Te 0.0000 0.0000 0.2441 x6
Te 0.0042 0.5021 0.7551 x18

Values from the calculation:
**M_tot**: 0.0 μB per cell
**Raw formation energy**: -1.323 eV per atom


Record 2
The following is a PBE calculation of a geometry-optimized OsPbSe2Br structure, from the Alexandria database.

abc: 4.9208 4.9208 5.1983
angles: 90.00 90.00 90.00
Space group P4/mmm (No. 123)
Asymmetric unit:
Os 0.0000 0.0000 0.0000 x1
Pb 0.5000 0.5000 0.5000 x1
Se 0.0000 0.5000 0.0000 x2
Br 0.0000 0.0000 0.5000 x1

Values from the calculation:
**Energy relative to the lowest polymorph listed for this composition**: 0.00 eV/f.u.
**M_tot**: 0.6 μB per cell
**Raw formation energy**: 0.284 eV per atom


Record 3
The following is a PBE calculation of a geometry-optimized Zr3TiH3 structure, from the Alexandria database.

abc: 7.9107 10.3920 4.4684
angles: 90.00 90.00 90.00
Space group Cmcm (No. 63)
Asymmetric unit:
Zr 0.0000 0.1365 0.2500 x4
Zr 0.2353 0.3845 0.2500 x8
Ti 0.0000 0.3574 0.7500 x4
H 0.0000 0.1663 0.7500 x4
H 0.2373 0.4092 0.7500 x8

Values from the calculation:
**Total energy**: -6.502 eV per atom
**M_tot**: 0.0 μB per cell


Record 4
The following is a PBE calculation of a geometry-optimized IrCl3 structure, from the Alexandria database.

abc: 2.9364 6.4529 9.9696
angles: 90.00 90.00 90.00
Space group Cmmm (No. 65)
Asymmetric unit:
Ir 0.0000 0.0000 0.0000 x2
Cl 0.0000 0.0000 0.5000 x2
Cl 0.0000 0.5000 0.1813 x4

Values from the calculation:
**M_tot**: 0.3 μB per cell
**Raw formation energy**: 0.263 eV per atom


Record 5
The following is a PBE calculation of a geometry-optimized ThSc2Mn9 structure, from the Alexandria database.

abc: 4.9480 4.9480 16.2275
angles: 90.00 90.00 120.00
Space group P6_3/mmc (No. 194)
Asymmetric unit:
Th 0.3333 0.6667 0.2500 x2
Sc 0.3333 0.6667 0.0353 x4
Mn 0.0000 0.0000 0.0000 x2
Mn 0.0000 0.0000 0.2500 x2
Mn 0.1705 0.3409 0.6213 x12
Mn 0.3333 0.6667 0.7500 x2

Values from the calculation:
**M_tot**: 9.3 μB per cell
**Energy relative to the elements**: 0.00 eV per atom


Record 6
The following is a PBE calculation of a geometry-optimized TbNdErTh structure, from the Alexandria database.

abc: 8.0570 8.0570 8.0570
angles: 90.00 90.00 90.00
Space group F-43m (No. 216)
Asymmetric unit:
Tb 0.0000 0.0000 0.0000 x4
Nd 0.2500 0.2500 0.2500 x4
Er 0.0000 0.0000 0.5000 x4
Th 0.2500 0.2500 0.7500 x4

Values from the calculation:
**Energy relative to the lowest polymorph listed for this composition**: 0.51 eV/f.u.
**M_tot**: 0.0 μB per cell
**Energy relative to the elements**: 0.14 eV per atom


Record 7
The following is a PBE calculation of a geometry-optimized MoIr2Se structure, from the Alexandria database.

abc: 9.6311 2.8669 4.5785
angles: 90.00 91.67 90.00
Space group Cm (No. 8)
Asymmetric unit:
Mo 0.0000 0.0000 0.0000 x2
Ir 0.0544 0.5000 0.5248 x2
Ir 0.2853 0.0000 0.7688 x2
Se 0.2704 0.5000 0.2654 x2

Values from the calculation:
**M_tot**: 0.0 μB per cell
**Raw formation energy**: 0.208 eV per atom


Record 8
The following is a PBE calculation of a geometry-optimized YNpRuRh structure, from the Alexandria database.

abc: 6.8097 6.8097 6.8097
angles: 90.00 90.00 90.00
Space group F-43m (No. 216)
Asymmetric unit:
Y 0.0000 0.0000 0.0000 x4
Np 0.0000 0.0000 0.5000 x4
Ru 0.2500 0.2500 0.2500 x4
Rh 0.2500 0.2500 0.7500 x4

Values from the calculation:
**M_tot**: 12.8 μB per cell
**Energy relative to the elements**: -0.31 eV per atom


Record 9
The following is a PBE calculation of a geometry-optimized SbAsIr2 structure, from the Alexandria database.

abc: 3.0805 3.3789 6.5773
angles: 90.00 90.00 90.00
Space group Pmmm (No. 47)
Asymmetric unit:
Sb 0.0000 0.0000 0.0000 x1
As 0.0000 0.0000 0.5000 x1
Ir 0.5000 0.5000 0.2808 x2

Values from the calculation:
**Energy relative to the lowest polymorph listed for this composition**: 1.66 eV/f.u.
**M_tot**: 0.0 μB per cell
**Raw formation energy**: 0.257 eV per atom


Record 10
The following is a PBE calculation of a geometry-optimized YZn2OsO structure, from the Alexandria database.

abc: 5.8148 5.8148 5.1039
angles: 90.00 90.00 90.00
Space group P4/mmm (No. 123)
Asymmetric unit:
Y 0.0000 0.0000 0.0000 x1
Zn 0.0000 0.5000 0.0000 x2
Os 0.0000 0.0000 0.5000 x1
O 0.5000 0.5000 0.5000 x1

Values from the calculation:
**M_tot**: 3.0 μB per cell
**Raw formation energy**: 1.810 eV per atom


Record 11
The following is a PBE calculation of a geometry-optimized Pr2Sm3Ho4 structure, from the Alexandria database.

abc: 6.2300 6.2401 8.0507
angles: 82.45 75.07 80.54
Space group P-1 (No. 2)
Asymmetric unit:
Pr 0.1679 0.3319 0.3325 x2
Sm 0.0573 0.1102 0.7787 x2
Sm 0.5000 0.0000 0.0000 x1
Ho 0.2775 0.5536 0.8886 x2
Ho 0.3908 0.7753 0.4452 x2

Values from the calculation:
**Energy relative to the lowest polymorph listed for this composition**: 0.00 eV/f.u.
**M_tot**: 0.0 μB per cell
**Energy relative to the elements**: 0.02 eV per atom


Record 12
The following is a PBE calculation of a geometry-optimized NdDy9Er2 structure, from the Alexandria database.

abc: 11.2152 11.2152 3.5039
angles: 90.00 90.00 120.00
Space group P6/mmm (No. 191)
Asymmetric unit:
Nd 0.0000 0.0000 0.0000 x1
Dy 0.0000 0.5000 0.0000 x3
Dy 0.1782 0.3564 0.5000 x6
Er 0.3333 0.6667 0.0000 x2

Values from the calculation:
**Energy relative to the lowest polymorph listed for this composition**: 0.19 eV/f.u.
**M_tot**: 0.0 μB per cell
**Energy relative to the elements**: 0.04 eV per atom


Record 13
The following is a PBE calculation of a geometry-optimized Sc5BiPd2 structure, from the Alexandria database.

abc: 7.3219 7.3219 13.0004
angles: 90.00 90.00 90.00
Space group I4/mcm (No. 140)
Asymmetric unit:
Sc 0.0000 0.0000 0.0000 x4
Sc 0.1520 0.3480 0.1431 x16
Bi 0.0000 0.0000 0.2500 x4
Pd 0.1398 0.3602 0.5000 x8

Values from the calculation:
**M_tot**: 0.0 μB per cell
**Energy relative to the elements**: -0.65 eV per atom


Record 14
The following is a PBE calculation of a geometry-optimized LiAcP2 structure, from the Alexandria database.

abc: 7.1118 7.1118 7.1118
angles: 90.00 90.00 90.00
Space group Fm-3m (No. 225)
Asymmetric unit:
Li 0.0000 0.0000 0.0000 x4
Ac 0.0000 0.0000 0.5000 x4
P 0.2500 0.2500 0.2500 x8

Values from the calculation:
**Energy relative to the lowest polymorph listed for this composition**: 1.20 eV/f.u.
**M_tot**: 0.0 μB per cell
**Energy relative to the elements**: -0.58 eV per atom


Record 15
The following is a PBE calculation of a geometry-optimized Cs2TbMgBr6 structure, from the Alexandria database.

abc: 8.1913 11.5897 8.1906
angles: 90.00 90.00 90.00
Space group Pmmn (No. 59, origin choice 2)
Asymmetric unit:
Cs 0.2500 0.9997 0.2502 x4
Tb 0.2500 0.2500 0.7494 x2
Mg 0.2500 0.7500 0.7503 x2
Br 0.0055 0.2500 0.5044 x4
Br 0.0050 0.2500 0.9939 x4
Br 0.2500 0.0054 0.7497 x4

Values from the calculation:
**M_tot**: 1.6 μB per cell
**Raw formation energy**: -1.600 eV per atom


Record 16
The following is a PBE calculation of a geometry-optimized CaTcP2 structure, from the Alexandria database.

abc: 3.7959 3.7959 9.4993
angles: 90.00 90.00 90.00
Space group I-4m2 (No. 119)
Asymmetric unit:
Ca 0.0000 0.0000 0.0000 x2
Tc 0.0000 0.5000 0.2500 x2
P 0.0000 0.0000 0.5000 x2
P 0.0000 0.5000 0.7500 x2

Values from the calculation:
**Energy relative to the lowest polymorph listed for this composition**: 2.76 eV/f.u.
**M_tot**: 3.4 μB per cell
**Energy relative to the elements**: 0.10 eV per atom


Record 17
The following is a PBE calculation of a geometry-optimized In2SbIr structure, from the Alexandria database.

abc: 4.4378 4.4378 4.3352
angles: 90.00 90.00 90.00
Space group P4/mmm (No. 123)
Asymmetric unit:
In 0.0000 0.5000 0.0000 x2
Sb 0.0000 0.0000 0.5000 x1
Ir 0.5000 0.5000 0.5000 x1

Values from the calculation:
**M_tot**: 0.0 μB per cell
**Raw formation energy**: 0.327 eV per atom


Record 18
The following is a PBE calculation of a geometry-optimized MgTl4Br6 structure, from the Alexandria database.

abc: 16.7440 8.6924 14.6472
angles: 90.00 118.32 90.00
Space group Cc (No. 9)
Asymmetric unit:
Mg 0.0000 0.2411 0.0000 x4
Tl 0.0652 0.3538 0.7615 x4
Tl 0.2269 0.1116 0.2706 x4
Tl 0.2820 0.4180 0.5794 x4
Tl 0.4548 0.2913 0.9096 x4
Br 0.0008 0.0182 0.1109 x4
Br 0.1194 0.3142 0.3644 x4
Br 0.1609 0.2694 0.0328 x4
Br 0.2426 0.2582 0.7465 x4
Br 0.4083 0.3392 0.3128 x4
Br 0.4243 0.0273 0.5270 x4

Values from the calculation:
**M_tot**: 0.0 μB per cell
**Raw formation energy**: -1.000 eV per atom


Record 19
The following is a PBE calculation of a geometry-optimized ThH2I3 structure, from the Alexandria database.

abc: 11.3312 12.9081 7.2233
angles: 90.00 93.71 90.00
Space group C2/c (No. 15)
Asymmetric unit:
Th 0.0000 0.0000 0.0000 x4
H 0.0265 0.4931 0.0316 x8
I 0.0000 0.1995 0.2500 x4
I 0.1972 0.1005 0.7700 x8

Values from the calculation:
**Total energy**: -3.923 eV per atom
**M_tot**: 0.0 μB per cell


Record 20
The following is a PBE calculation of a geometry-optimized Tl2TcRuO6 structure, from the Alexandria database.

abc: 7.5681 7.5683 6.7422
angles: 90.00 123.74 90.00
Space group C2/m (No. 12)
Asymmetric unit:
Tl 0.0000 0.2497 0.0000 x4
Tc 0.0000 0.0000 0.5000 x2
Ru 0.0000 0.5000 0.5000 x2
O 0.0000 0.2431 0.5000 x4
O 0.1701 0.5000 0.8420 x4
O 0.2437 0.0000 0.5012 x4

Values from the calculation:
**M_tot**: 1.7 μB per cell
**Raw formation energy**: -0.831 eV per atom